1.
Crystalline BeFeBr2 at its relaxed geometry. Source: Alexandria, functional PBE-GGA.

## Properties
Calculated density = 4.4 g/cm³
Relative energy among the computed polymorphs = 618 meV/atom
E = -3.29 eV/atom

```
BeFeBr2
1.0
3.4156 0.0000 0.0000
0.0000 3.7336 0.0000
0.0000 0.0000 6.5935
Be Fe Br
1 1 2
Cartesian
0.0000 0.0000 0.0000
1.7078 0.0000 3.2968
0.0000 1.8668 3.2968
1.7078 1.8668 0.0000
```

***

2.
Crystalline BeFeBr at its relaxed geometry. Source: Alexandria, functional PBE-GGA.

## Properties
Calculated density = 5.4 g/cm³
Relative energy among the computed polymorphs = 387 meV/atom
E = -3.77 eV/atom

```
BeFeBr
1.0
0.0000 2.8050 2.8050
2.8050 0.0000 2.8050
2.8050 2.8050 0.0000
Be Fe Br
1 1 1
Cartesian
0.0000 0.0000 0.0000
4.2075 4.2075 4.2075
2.8050 2.8050 2.8050
```

***

3.
Crystalline BeFeBr2 at its relaxed geometry. Source: Alexandria, functional PBE-GGA.

## Properties
Calculated density = 4.0 g/cm³
Relative energy among the computed polymorphs = 134 meV/atom
E = -3.78 eV/atom

```
BeFeBr2
1.0
1.6217 -3.2269 0.0000
1.6217 3.2269 0.0000
0.0000 0.0000 9.0193
Be Fe Br
1 1 2
Cartesian
0.0000 0.0000 0.0000
1.6217 0.0000 7.1896
0.0000 0.0000 5.3723
1.6217 0.0000 1.4549
```

***

4.
Crystalline BeFeBr2 at its relaxed geometry. Source: Alexandria, functional PBE-GGA.

## Properties
Calculated density = 4.8 g/cm³
Relative energy among the computed polymorphs = 566 meV/atom
E = -3.35 eV/atom

```
BeFeBr2
1.0
-1.6323 3.1704 3.7764
1.6323 -3.1704 3.7764
1.6323 3.1704 -3.7764
Be Fe Br
1 1 2
Cartesian
0.0000 0.0000 0.0000
0.0000 0.0000 3.7764
1.6323 0.0000 1.7126
0.0000 3.1704 2.0638
```

***

5.
Crystalline BeFeBr2 at its relaxed geometry. Source: Alexandria, functional PBE-GGA.

## Properties
Calculated density = 4.6 g/cm³
Relative energy among the computed polymorphs = 458 meV/atom
E = -3.45 eV/atom

```
BeFeBr2
1.0
1.7528 1.0120 7.6947
-1.7528 1.0120 7.6947
0.0000 -2.0239 7.6947
Be Fe Br
1 1 2
Cartesian
0.0000 0.0000 0.0000
0.0000 0.0000 11.5420
0.0000 0.0000 2.2096
0.0000 0.0000 20.8744
```

***

6.
Crystalline BeFeBr at its relaxed geometry. Source: Alexandria, functional PBE-GGA.

## Properties
Calculated density = 4.9 g/cm³
Relative energy among the computed polymorphs = 582 meV/atom
E = -3.57 eV/atom

```
BeFeBr
1.0
0.0000 2.9044 2.9044
2.9044 0.0000 2.9044
2.9044 2.9044 0.0000
Be Fe Br
1 1 1
Cartesian
0.0000 0.0000 0.0000
4.3566 4.3566 4.3566
1.4522 1.4522 1.4522
```